No. 1
The following is a DFT calculation (GGA-PBEsol) of a relaxed structure of HfSi2As.

Geometry as POSCAR:
```
HfSi2As
1.0
-3.6176 3.6176 2.6756
3.6176 -3.6176 2.6756
3.6176 3.6176 -2.6756
Hf Si As
2 4 2
Direct
0.0000 0.0000 0.0000 Hf
0.7500 0.2500 0.5000 Hf
0.1393 0.1250 0.5143 Si
0.3750 0.8607 0.9857 Si
0.6107 0.6250 0.4857 Si
0.8750 0.3893 0.0143 Si
0.2500 0.7500 0.5000 As
0.5000 0.5000 0.0000 As
```

Summary:
Symmetry = I-42d, No. 122
DOS at the Fermi energy = 0.617 states/eV/atom
Raw formation energy = 7 meV/atom
Total magnetization = 0.000 μB/f.u.


No. 2
The following is a DFT calculation (GGA-PBEsol) of a relaxed structure of CoCuRh.

Geometry as POSCAR:
```
CoCuRh
1.0
-1.3176 1.3176 5.1508
1.3176 -1.3176 5.1508
1.3176 1.3176 -5.1508
Co Cu Rh
1 1 1
Direct
0.0000 0.0000 0.0000 Co
0.6600 0.6600 0.0000 Cu
0.3377 0.3377 0.0000 Rh
```

Summary:
Symmetry = I4mm, No. 107
DOS at the Fermi energy = 1.079 states/eV/atom
Offset from the most stable computed form = 0.016 eV per atom
Total magnetization = 2.204 μB/f.u.


No. 3
The following is a DFT calculation (GGA-PBEsol) of a relaxed structure of Na3LiBe.

Geometry as POSCAR:
```
Na3LiBe
1.0
5.4011 0.0000 0.0000
0.0000 5.4011 0.0000
0.0000 0.0000 5.4011
Na Li Be
3 1 1
Direct
0.0000 0.0000 0.5000 Na
0.0000 0.5000 0.0000 Na
0.5000 0.0000 0.0000 Na
0.0000 0.0000 0.0000 Li
0.5000 0.5000 0.5000 Be
```

Summary:
Symmetry = Pm-3m, No. 221
Raw total energy = -1.215 eV/atom
DOS at the Fermi energy = 0.489 states/eV/atom
Total magnetization = 0.000 μB/f.u.


No. 4
The following is a DFT calculation (GGA-PBEsol) of a relaxed structure of AgPtW2.

Geometry as POSCAR:
```
AgPtW2
1.0
-1.9987 1.9987 3.8813
1.9987 -1.9987 3.8813
1.9987 1.9987 -3.8813
Ag Pt W
1 1 2
Direct
0.0000 0.0000 0.0000 Ag
0.2500 0.7500 0.5000 Pt
0.5000 0.5000 0.0000 W
0.7500 0.2500 0.5000 W
```

Summary:
Symmetry = I-4m2, No. 119
DOS at the Fermi energy = 0.966 states/eV/atom
Offset from the most stable computed form = 0.138 eV per atom
Total magnetization = 0.000 μB/f.u.


No. 5
The following is a DFT calculation (GGA-PBEsol) of a relaxed structure of LaMn4Al8.

Geometry as POSCAR:
```
LaMn4Al8
1.0
-4.4135 4.4135 2.4559
4.4135 -4.4135 2.4559
4.4135 4.4135 -2.4559
La Mn Al
1 4 8
Direct
0.0000 0.0000 0.0000 La
0.0000 0.0000 0.5000 Mn
0.0000 0.5000 0.0000 Mn
0.5000 0.0000 0.0000 Mn
0.5000 0.5000 0.5000 Mn
0.0000 0.3441 0.3441 Al
0.0000 0.6559 0.6559 Al
0.2774 0.5000 0.7774 Al
0.3441 0.0000 0.3441 Al
0.5000 0.2774 0.7774 Al
0.5000 0.7226 0.2226 Al
0.6559 0.0000 0.6559 Al
0.7226 0.5000 0.2226 Al
```

Summary:
Symmetry = I4/mmm, No. 139
Raw total energy = -6.208 eV/atom
DOS at the Fermi energy = 0.642 states/eV/atom
Total magnetization = 0.002 μB/f.u.


No. 6
The following is a DFT calculation (GGA-PBEsol) of a relaxed structure of BeNi5.

Geometry as POSCAR:
```
BeNi5
1.0
4.1833 0.0000 0.0000
-2.0917 3.6229 0.0000
0.0000 0.0000 3.9303
Be Ni
1 5
Direct
0.0000 0.0000 0.0000 Be
0.0000 0.3297 0.5000 Ni
0.3297 0.0000 0.5000 Ni
0.3333 0.6667 0.0000 Ni
0.6667 0.3333 0.0000 Ni
0.6703 0.6703 0.5000 Ni
```

Summary:
Symmetry = P-62m, No. 189
DOS at the Fermi energy = 1.516 states/eV/atom
Offset from the most stable computed form = 0.053 eV per atom
Total magnetization = 1.852 μB/f.u.


No. 7
The following is a DFT calculation (GGA-PBEsol) of a relaxed structure of InPtF3.

Geometry as POSCAR:
```
InPtF3
1.0
4.2054 0.0000 0.0000
0.0000 4.2054 0.0000
0.0000 0.0000 4.2054
In Pt F
1 1 3
Direct
0.0000 0.0000 0.0000 In
0.5000 0.5000 0.5000 Pt
0.0000 0.0000 0.5000 F
0.0000 0.5000 0.0000 F
0.5000 0.0000 0.0000 F
```

Summary:
Symmetry = Pm-3m, No. 221
DOS at the Fermi energy = 1.513 states/eV/atom
Raw formation energy = -932 meV/atom
Total magnetization = 0.502 μB/f.u.


No. 8
The following is a DFT calculation (GGA-PBEsol) of a relaxed structure of Hf3Sb7Pd.

Geometry as POSCAR:
```
Hf3Sb7Pd
1.0
17.4103 0.0000 0.0000
0.0000 3.9236 0.0000
0.0000 0.0000 14.4682
Hf Sb Pd
12 28 4
Direct
0.1075 0.2500 0.0889 Hf
0.1307 0.2500 0.5308 Hf
0.1523 0.2500 0.8109 Hf
0.3477 0.7500 0.3109 Hf
0.3693 0.7500 0.0308 Hf
0.3925 0.7500 0.5889 Hf
0.6075 0.2500 0.4111 Hf
0.6307 0.2500 0.9692 Hf
0.6523 0.2500 0.6891 Hf
0.8477 0.7500 0.1891 Hf
0.8693 0.7500 0.4692 Hf
0.8925 0.7500 0.9111 Hf
0.0193 0.7500 0.1949 Sb
0.0364 0.7500 0.4288 Sb
0.0720 0.7500 0.9409 Sb
0.0945 0.7500 0.6757 Sb
0.2170 0.2500 0.3204 Sb
0.2278 0.7500 0.1490 Sb
0.2491 0.7500 0.4811 Sb
0.2509 0.2500 0.9811 Sb
0.2722 0.2500 0.6490 Sb
0.2830 0.7500 0.8204 Sb
0.4055 0.2500 0.1757 Sb
0.4280 0.2500 0.4409 Sb
0.4636 0.2500 0.9288 Sb
0.4807 0.2500 0.6949 Sb
0.5193 0.7500 0.3051 Sb
0.5364 0.7500 0.0712 Sb
0.5720 0.7500 0.5591 Sb
0.5945 0.7500 0.8243 Sb
0.7170 0.2500 0.1796 Sb
0.7278 0.7500 0.3510 Sb
0.7491 0.7500 0.0189 Sb
0.7509 0.2500 0.5189 Sb
0.7722 0.2500 0.8510 Sb
0.7830 0.7500 0.6796 Sb
0.9055 0.2500 0.3243 Sb
0.9280 0.2500 0.0591 Sb
0.9636 0.2500 0.5712 Sb
0.9807 0.2500 0.8051 Sb
0.0658 0.2500 0.3093 Pd
0.4342 0.7500 0.8093 Pd
0.5658 0.2500 0.1907 Pd
0.9342 0.7500 0.6907 Pd
```

Summary:
Symmetry = Pnma, No. 62
DOS at the Fermi energy = 0.310 states/eV/atom
Raw formation energy = -496 meV/atom
Total magnetization = 0.000 μB/f.u.